# PBEsol CuBSe2, relaxed
# uncorrected formation energy: 39.7 kJ per mole of atoms
# DOS(E_F): 1.282 states/eV/cell
data_CuBSe2
_chemical_formula_sum 'Cu1 B1 Se2'
_cell_length_a 7.2263
_cell_length_b 7.2263
_cell_length_c 7.2263
_cell_angle_alpha 26.41
_cell_angle_beta 26.41
_cell_angle_gamma 26.41
_symmetry_space_group_name_H-M 'P 1'
_symmetry_Int_Tables_number 1
_symmetry_space_group_name_Hall 'P 1'
loop_
_atom_site_label
_atom_site_fract_x
_atom_site_fract_y
_atom_site_fract_z
Cu1 0.0000 0.0000 0.0000
B1 0.5000 0.5000 0.5000
Se1 0.1076 0.1076 0.1076
Se2 0.8924 0.8924 0.8924

# PBEsol HfScN2, relaxed
# uncorrected formation energy: -100.5 kJ per mole of atoms
# DOS(E_F): 1.825 states/eV/cell
data_HfScN2
_chemical_formula_sum 'Hf1 Sc1 N2'
_cell_length_a 3.9052
_cell_length_b 3.9052
_cell_length_c 3.9052
_cell_angle_alpha 60.00
_cell_angle_beta 60.00
_cell_angle_gamma 60.00
_symmetry_space_group_name_H-M 'P 1'
_symmetry_Int_Tables_number 1
_symmetry_space_group_name_Hall 'P 1'
loop_
_atom_site_label
_atom_site_fract_x
_atom_site_fract_y
_atom_site_fract_z
Hf1 0.0000 0.0000 0.0000
Sc1 0.5000 0.5000 0.5000
N1 0.2500 0.2500 0.2500
N2 0.7500 0.7500 0.7500

# PBEsol TcAsBr2, relaxed
# uncorrected formation energy: 85.0 kJ per mole of atoms
# DOS(E_F): 3.527 states/eV/cell
# offset from the most stable computed form: 0.808 eV per atom
data_TcAsBr2
_chemical_formula_sum 'Tc1 As1 Br2'
_cell_length_a 4.6496
_cell_length_b 4.6496
_cell_length_c 4.6496
_cell_angle_alpha 60.00
_cell_angle_beta 60.00
_cell_angle_gamma 60.00
_symmetry_space_group_name_H-M 'P 1'
_symmetry_Int_Tables_number 1
_symmetry_space_group_name_Hall 'P 1'
loop_
_atom_site_label
_atom_site_fract_x
_atom_site_fract_y
_atom_site_fract_z
Tc1 0.0000 0.0000 0.0000
As1 0.5000 0.5000 0.5000
Br1 0.2500 0.2500 0.2500
Br2 0.7500 0.7500 0.7500

# PBEsol Mg2AsPb, relaxed
# DOS(E_F): 1.935 states/eV/cell
# offset from the most stable computed form: 0.057 eV per atom
# ΔH_f (0 K): -17.1 kJ per mole of atoms
data_Mg2AsPb
_chemical_formula_sum 'Mg2 As1 Pb1'
_cell_length_a 3.6320
_cell_length_b 3.6338
_cell_length_c 6.6682
_cell_angle_alpha 90.00
_cell_angle_beta 90.19
_cell_angle_gamma 90.00
_symmetry_space_group_name_H-M 'P 1'
_symmetry_Int_Tables_number 1
_symmetry_space_group_name_Hall 'P 1'
loop_
_atom_site_label
_atom_site_fract_x
_atom_site_fract_y
_atom_site_fract_z
Mg1 0.0013 0.0000 0.2869
Mg2 0.9987 0.0000 0.7131
As1 0.5000 0.5000 0.5000
Pb1 0.5000 0.5000 0.0000

Copy entry 3 word for word.
# PBEsol TcAsBr2, relaxed
# uncorrected formation energy: 85.0 kJ per mole of atoms
# DOS(E_F): 3.527 states/eV/cell
# offset from the most stable computed form: 0.808 eV per atom
data_TcAsBr2
_chemical_formula_sum 'Tc1 As1 Br2'
_cell_length_a 4.6496
_cell_length_b 4.6496
_cell_length_c 4.6496
_cell_angle_alpha 60.00
_cell_angle_beta 60.00
_cell_angle_gamma 60.00
_symmetry_space_group_name_H-M 'P 1'
_symmetry_Int_Tables_number 1
_symmetry_space_group_name_Hall 'P 1'
loop_
_atom_site_label
_atom_site_fract_x
_atom_site_fract_y
_atom_site_fract_z
Tc1 0.0000 0.0000 0.0000
As1 0.5000 0.5000 0.5000
Br1 0.2500 0.2500 0.2500
Br2 0.7500 0.7500 0.7500

Please write out number 4 again, unchanged.
# PBEsol Mg2AsPb, relaxed
# DOS(E_F): 1.935 states/eV/cell
# offset from the most stable computed form: 0.057 eV per atom
# ΔH_f (0 K): -17.1 kJ per mole of atoms
data_Mg2AsPb
_chemical_formula_sum 'Mg2 As1 Pb1'
_cell_length_a 3.6320
_cell_length_b 3.6338
_cell_length_c 6.6682
_cell_angle_alpha 90.00
_cell_angle_beta 90.19
_cell_angle_gamma 90.00
_symmetry_space_group_name_H-M 'P 1'
_symmetry_Int_Tables_number 1
_symmetry_space_group_name_Hall 'P 1'
loop_
_atom_site_label
_atom_site_fract_x
_atom_site_fract_y
_atom_site_fract_z
Mg1 0.0013 0.0000 0.2869
Mg2 0.9987 0.0000 0.7131
As1 0.5000 0.5000 0.5000
Pb1 0.5000 0.5000 0.0000